! PBE with a Hubbard U AcVTe2O8, optimized geometry; values from VASP
! - final energy (eV/cell) = -77.262
! - volume (Å³ per cell) = 215.9
! - space group = No. 164
&SYSTEM
  ibrav = 0, nat = 12, ntyp = 4
/
ATOMIC_SPECIES
O 16.00 O.upf
Te 127.60 Te.upf
V 50.94 V.upf
Ac 227.00 Ac.upf
ATOMIC_POSITIONS crystal
O 0.333 0.667 0.544
O 0.861 0.139 0.181
Te 0.333 0.667 0.823
O 0.667 0.333 0.456
O 0.139 0.861 0.819
O 0.861 0.721 0.181
O 0.279 0.139 0.181
O 0.139 0.279 0.819
Te 0.667 0.333 0.177
O 0.721 0.861 0.819
V 0.000 0.000 0.000
Ac 0.000 0.000 0.500
CELL_PARAMETERS angstrom
-0.912 -6.014 -0.882
3.227 1.939 4.858
-5.548 0.319 3.558